VASP calculation (GGA-PBE) on BaPm3Te6 after structural relaxation.

```
data_BaPm3Te6
_space_group_name_H-M_alt 'P 1 21/m 1'
_space_group_IT_number 11
_space_group_name_Hall '-P 2yb'
_cell_length_a 12.920
_cell_length_b 4.576
_cell_length_c 13.352
_cell_angle_alpha 90.00
_cell_angle_beta 109.50
_cell_angle_gamma 90.00
loop_
_atom_site_label
_atom_site_fract_x
_atom_site_fract_y
_atom_site_fract_z
Ba1 0.052 0.250 0.196
Pm1 0.155 0.250 0.584
Pm2 0.324 0.750 0.004
Pm3 0.448 0.250 0.337
Te1 0.086 0.750 0.411
Te2 0.139 0.250 0.968
Te3 0.210 0.750 0.752
Te4 0.277 0.750 0.231
Te5 0.385 0.250 0.549
Te6 0.492 0.250 0.121
```

Calculated values
Crystal system = monoclinic
Magnetization = 0.0 μB/cell
ΔE_f (raw) = -1.38 eV/atom

VASP calculation (GGA-PBE) on SmEuHoCd after structural relaxation.

```
data_SmEuHoCd
_space_group_name_H-M_alt 'F -4 3 m'
_space_group_IT_number 216
_space_group_name_Hall 'F -4 2 3'
_cell_length_a 7.835
_cell_length_b 7.835
_cell_length_c 7.835
_cell_angle_alpha 90.00
_cell_angle_beta 90.00
_cell_angle_gamma 90.00
loop_
_atom_site_label
_atom_site_fract_x
_atom_site_fract_y
_atom_site_fract_z
Sm1 0.000 0.000 0.000
Eu1 0.250 0.250 0.250
Ho1 0.000 0.000 0.500
Cd1 0.250 0.250 0.750
```

Calculated values
Crystal system = cubic
Magnetization = 28.7 μB/cell

| no. | DOS(E_F) (states/eV per atom) | total DFT energy (no corrections) (eV per atom) |
| --- | --- | --- |
| 1 | 0.73 | -4.89 |
| 2 | 1.08 | -5.13 |